# 1
Re2SiPt (PBE, optimized geometry); total magnetization = 0.000 μB/atom; calculated total energy = -36.91 eV per formula unit; formation energy without anion corrections = -0.138 eV per atom
1.0
-3.399 -2.799 -1.471
3.892 -2.145 -2.089
0.995 -2.623 4.666
Si Re Pt
2 4 2
Direct
0.130 0.929 0.235 Si
0.870 0.071 0.765 Si
0.046 0.417 0.230 Re
0.432 0.730 0.579 Re
0.568 0.270 0.421 Re
0.954 0.583 0.770 Re
0.388 0.231 0.893 Pt
0.612 0.769 0.107 Pt

=====

# 2
Tl3RePb (PBE, optimized geometry); total magnetization = 0.000 μB/atom; calculated total energy = -19.53 eV per formula unit; formation energy = 0.745 eV/atom
1.0
-3.734 -3.224 -2.125
3.689 -3.851 -0.641
-1.138 -1.905 4.891
Tl Re Pb
3 1 1
Direct
0.500 0.000 0.000 Tl
0.000 0.500 0.000 Tl
0.000 0.000 0.500 Tl
0.000 0.000 0.000 Re
0.500 0.500 0.500 Pb

=====

# 3
NaAgSnBi (PBE, optimized geometry); total magnetization = 0.000 μB/atom; calculated total energy = -12.23 eV per formula unit; formation energy = -0.045 eV/atom
1.0
-2.613 -4.507 -0.359
1.050 -3.325 -3.888
2.427 -4.513 1.008
Bi Ag Na Sn
1 1 1 1
Direct
0.750 0.750 0.750 Bi
0.500 0.500 0.500 Ag
0.000 0.000 0.000 Na
0.250 0.250 0.250 Sn

=====

# 4
KMg3Ge (PBE, optimized geometry); total magnetization = 0.000 μB/atom; calculated total energy = -4.16 eV per formula unit; formation energy = 1.268 eV/atom
1.0
-5.432 1.584 -1.364
-0.324 -4.389 -3.808
-2.065 -3.478 4.184
Mg K Ge
3 1 1
Direct
0.000 0.500 0.000 Mg
0.000 0.000 0.500 Mg
0.500 0.000 0.000 Mg
0.000 0.000 0.000 K
0.500 0.500 0.500 Ge

=====

# 5
DyAg3Sn (PBE, optimized geometry); total magnetization = 0.000 μB/atom; calculated total energy = -17.84 eV per formula unit; formation energy = -0.136 eV/atom
1.0
-1.165 -2.833 1.592
2.791 -2.656 -2.683
8.765 2.458 10.791
Dy Ag Sn
2 6 2
Direct
0.500 0.826 0.653 Dy
0.500 0.174 0.347 Dy
0.000 0.053 0.106 Ag
0.500 0.453 0.905 Ag
0.000 0.274 0.548 Ag
0.000 0.947 0.894 Ag
0.500 0.547 0.095 Ag
0.000 0.726 0.452 Ag
0.000 0.375 0.749 Sn
0.000 0.625 0.251 Sn

=====

# 6
Pa3MnTl3S8 (PBE, optimized geometry); total magnetization = 0.610 μB/atom; calculated total energy = -93.89 eV per formula unit; formation energy without anion corrections = -1.074 eV per atom
1.0
7.903 0.000 -0.001
-3.952 6.844 -0.030
-0.001 -4.531 7.716
Pa Mn S Tl
3 1 8 3
Direct
0.500 0.500 0.500 Pa
0.000 0.500 0.500 Pa
0.500 0.000 0.500 Pa
0.000 0.000 0.500 Mn
0.775 0.551 0.311 S
0.740 0.964 0.689 S
0.733 0.465 0.698 S
0.775 0.036 0.311 S
0.267 0.535 0.302 S
0.225 0.449 0.689 S
0.225 0.964 0.689 S
0.260 0.036 0.311 S
0.000 0.000 0.000 Tl
0.500 0.500 0.000 Tl
0.000 0.500 0.000 Tl